1.
DFT (GGA-PBE) results for an optimized crystal structure of NaGd2Ru.

Values from the calculation:
- magnetic moment (μB per atom) = 3.629
- E_form (eV/atom) = 0.0115
- calculated volume (Å³/cell) = 93.0
- mass density (g/cm3) = 7.83

Cell: 5.0854 5.0854 5.0854 Å, 60.00 60.00 60.00°
With the nearest neighbours (Å) after each atom.
Fractional positions:
Gd 0.7500 0.7500 0.7500  4 Ru 3.11, 4 Na 3.11
Gd 0.2500 0.2500 0.2500  4 Na 3.11, 4 Ru 3.11
Ru 0.5000 0.5000 0.5000  8 Gd 3.11
Na 0.0000 0.0000 0.0000  8 Gd 3.11

***

2.
DFT (GGA-PBE) results for an optimized crystal structure of InBCO2.

Values from the calculation:
- magnetic moment (μB per atom) = 0.140
- calculated volume (Å³/cell) = 77.9
- formation energy without anion corrections (meV per atom) = 365
- mass density (g/cm3) = 3.62

Cell: 3.0884 8.1678 3.0884 Å, 90.00 90.00 90.00°
With the nearest neighbours (Å) after each atom.
Fractional positions:
C 0.5000 0.5000 0.5000  4 In 2.18
In 0.0000 0.5000 0.0000  4 C 2.18
O 0.0000 0.0000 0.5000  2 B 1.54
O 0.5000 0.0000 0.0000  2 B 1.54
B 0.0000 0.0000 0.0000  4 O 1.54

***

3.
DFT (GGA-PBE) results for an optimized crystal structure of Cs3Na2PuI9.

Values from the calculation:
- magnetic moment (μB per atom) = 0.266
- calculated volume (Å³/cell) = 734.8
- formation energy without anion corrections (meV per atom) = -1236
- mass density (g/cm3) = 4.14

Cell: 8.8528 8.8528 10.8266 Å, 90.00 90.00 120.00°
With the nearest neighbours (Å) after each atom.
Fractional positions:
Pu 0.0000 0.0000 0.5000  6 I 3.01
I 0.5000 0.0000 0.0000  2 Na 3.04
I 0.6787 0.8394 0.3404  1 Pu 3.01, 1 Na 3.34
I 0.1606 0.3213 0.3404  1 Pu 3.01, 1 Na 3.34
I 0.8394 0.1606 0.6596  1 Pu 3.01, 1 Na 3.34
I 0.8394 0.6787 0.6596  1 Pu 3.01, 1 Na 3.34
I 0.0000 0.5000 0.0000  2 Na 3.04
I 0.5000 0.5000 0.0000  2 Na 3.04
I 0.3213 0.1606 0.6596  1 Pu 3.01, 1 Na 3.34
I 0.1606 0.8394 0.3404  1 Pu 3.01, 1 Na 3.34
Cs 0.3333 0.6667 0.7230  3 I 3.94
Cs 0.0000 0.0000 0.0000  12 I 4.43
Cs 0.6667 0.3333 0.2770  3 I 3.94
Na 0.3333 0.6667 0.1525  6 I 3.04-3.34
Na 0.6667 0.3333 0.8475  6 I 3.04-3.34

***

4.
DFT (GGA-PBE) results for an optimized crystal structure of La2Se2Br.

Values from the calculation:
- magnetic moment (μB per atom) = 0.000
- calculated volume (Å³/cell) = 172.8
- formation energy without anion corrections (meV per atom) = -1873
- mass density (g/cm3) = 4.95

Cell: 4.3908 5.9574 7.5722 Å, 113.16 106.85 90.00°
With the nearest neighbours (Å) after each atom.
Fractional positions:
Br 0.0000 0.0000 0.0000  4 La 3.16
Se 0.3246 0.3246 0.6493  4 La 2.98
Se 0.6754 0.6754 0.3507  4 La 2.98
La 0.3284 0.8284 0.6567  4 Se 2.98, 2 Br 3.16
La 0.6716 0.1716 0.3433  4 Se 2.98, 2 Br 3.16